A PBEsol-optimized structure of CePr2S4, computed with meta-GGA SCAN.

- raw total energy (eV per atom) = -26.5537
- uncorrected formation energy (meV per atom) = -2307

Unit cell a=8.4656 b=8.4656 c=8.5080 alpha=90.00 beta=90.00 gamma=90.00
With the nearest neighbours (Å) after each atom.
Space group I-42d (No. 122)
Inequivalent atoms, fractional coordinates:
Ce 0.0000 0.0000 0.0000 (multiplicity 4)  8 S 2.85-3.00
Pr 0.1185 0.7500 0.6250 (multiplicity 8)  8 S 2.88-3.03
S 0.0765 0.6758 0.9534 (multiplicity 16)  2 Ce 2.85-3.00, 4 Pr 2.88-3.03, 1 S 3.18